Entry from Alexandria: CeErNiIr after structural relaxation (PBE).

As for the offset from the most stable computed form: 0.074 eV per atom. Its size of the total moment is 1.30 Bohr magnetons per cell. Its energy of formation is -565.3 meV/atom.

The structure belongs to space group F-43m (No. 216); the cell edges are 6.857, 6.857 and 6.857 Å and the angles 90.00°, 90.00° and 90.00°. The inequivalent atoms are Ce at (0.000, 0.000, 0.000), Er at (0.000, 0.000, 0.500), Ni at (0.250, 0.250, 0.750) and Ir at (0.250, 0.250, 0.250).